No. 1
Below is crystalline LaPaFeO6 at its relaxed geometry, with properties calculated at the PBE with a Hubbard U level.

The total energy is -71.3 eV per cell.

The structure belongs to space group P312 (No. 149); the cell edges are 5.4450, 5.4450 and 4.8301 Å and the angles 90.00°, 90.00° and 120.00°. Symmetry generates all atoms from La at (0.0000, 0.0000, 0.0000), Pa at (0.3333, 0.6667, 0.5000), Fe at (0.6667, 0.3333, 0.0000) and O at (0.3932, 0.0218, 0.7645).

No. 2
Below is crystalline KMoO3 at its relaxed geometry, with properties calculated at the PBE with a Hubbard U level.

The total energy is -108.5 eV per cell.

The structure belongs to space group Cmcm (No. 63); the cell edges are 3.572, 15.293 and 5.175 Å and the angles 90.00°, 90.00° and 90.00°. Symmetry generates all atoms from K at (0.000, 0.176, 0.250), Mo at (0.000, 0.461, 0.250), O at (0.000, 0.000, 0.000) and O at (0.201, 0.156, 0.750).